Entry 1:
Entry from the Alexandria database: a relaxed structure of CrHWAu (PBE-GGA).

Results
The calculation puts the offset from the most stable computed form at 46 meV per atom. The value obtained for the total energy is -7.020 eV/atom. Its mass density is 14.9 g/cm3. As for the crystal system: monoclinic.

```
CrHWAu
1.0
-5.186 -4.865 -0.297
0.553 -0.411 -2.912
4.010 -2.308 1.087
Cr H W Au
2 2 2 2
direct
0.649 0.000 0.223
0.649 0.500 0.723
0.754 0.000 0.920
0.754 0.500 0.420
0.963 0.000 0.611
0.963 0.500 0.111
0.317 0.000 0.420
0.317 0.500 0.920
```

=====

Entry 2:
Entry from the Alexandria database: a relaxed structure of Ca3Mg (PBE-GGA).

Results
Its formation energy is 0.13 eV per formula unit. The value obtained for the total energy is -1.866 eV/atom. Its mass density is 1.6 g/cm3. As for the crystal system: hexagonal.

```
Ca3Mg
1.0
-5.552 1.160 -1.359
3.012 -3.900 -3.120
-3.111 -7.469 6.333
Ca Mg
6 2
direct
0.667 0.333 0.575
0.333 0.667 0.075
0.333 0.667 0.425
0.667 0.333 0.925
0.000 0.000 0.250
0.000 0.000 0.750
0.667 0.333 0.250
0.333 0.667 0.750
```

=====

Question: The lowest mass density belongs to which entry?
Answer: Ca3Mg

=====

Question: What is the mass density in the first record?
Answer: 14.9 g/cm3